First-principles (PBE-GGA) data for a geometry-optimized InBIrPt2 structure, as listed in Alexandria via LeMat-Bulk.

Output
The density of states at the Fermi level comes out at 2.7 states/eV per cell. As for the energy of formation from the pure elements: -0.17 eV per atom. For the density, the calculation gives 15.403 g/cm3.

Unit cell a=4.2856 b=4.2856 c=4.1557 alpha=90.00 beta=90.00 gamma=90.00
Closest atoms and distances in Å follow each position.
Space group P4/mmm (No. 123)
Inequivalent atoms, fractional coordinates:
1 In 0.0000 0.0000 0.0000 [1 per cell]  8 Pt 2.98, 4 Ir 3.03
2 B 0.5000 0.5000 0.5000 [1 per cell]  2 Ir 2.08, 4 Pt 2.14
3 Ir 0.5000 0.5000 0.0000 [1 per cell]  2 B 2.08
4 Pt 0.0000 0.5000 0.5000 [2 per cell]  2 B 2.14



First-principles (PBE-GGA) data for a geometry-optimized RbIn2BIr structure, as listed in Alexandria via LeMat-Bulk.

Output
The density of states at the Fermi level comes out at 5.4 states/eV per cell. As for the energy of formation from the pure elements: 2.57 eV per atom. For the density, the calculation gives 5.285 g/cm3.

Unit cell a=5.8845 b=5.8845 c=4.7017 alpha=90.00 beta=90.00 gamma=90.00
Closest atoms and distances in Å follow each position.
Space group P4/mmm (No. 123)
Inequivalent atoms, fractional coordinates:
1 Rb 0.0000 0.0000 0.0000 [1 per cell]  2 B 2.35
2 In 0.0000 0.5000 0.0000 [2 per cell]  2 Rb 2.94
3 B 0.0000 0.0000 0.5000 [1 per cell]  2 Rb 2.35
4 Ir 0.5000 0.5000 0.5000 [1 per cell]  8 In 3.77, 4 B 4.16



First-principles (PBE-GGA) data for a geometry-optimized InBIr2Rh structure, as listed in Alexandria via LeMat-Bulk.

Output
The density of states at the Fermi level comes out at 3.6 states/eV per cell. As for the energy of formation from the pure elements: -0.20 eV per atom. For the density, the calculation gives 14.054 g/cm3.

Unit cell a=4.1625 b=4.1625 c=4.1800 alpha=90.00 beta=90.00 gamma=90.00
Closest atoms and distances in Å follow each position.
Space group P4/mmm (No. 123)
Inequivalent atoms, fractional coordinates:
1 In 0.0000 0.0000 0.0000 [1 per cell]  4 Rh 2.94, 8 Ir 2.95
2 B 0.5000 0.5000 0.5000 [1 per cell]  4 Ir 2.08, 2 Rh 2.09
3 Ir 0.0000 0.5000 0.5000 [2 per cell]  2 B 2.08
4 Rh 0.5000 0.5000 0.0000 [1 per cell]  2 B 2.09



First-principles (PBE-GGA) data for a geometry-optimized InBIrRu2 structure, as listed in Alexandria via LeMat-Bulk.

Output
The density of states at the Fermi level comes out at 4.8 states/eV per cell. As for the energy of formation from the pure elements: -0.05 eV per atom. For the density, the calculation gives 12.061 g/cm3.

Unit cell a=4.1610 b=4.1610 c=4.1351 alpha=90.00 beta=90.00 gamma=90.00
Closest atoms and distances in Å follow each position.
Space group P4/mmm (No. 123)
Inequivalent atoms, fractional coordinates:
1 In 0.0000 0.0000 0.0000 [1 per cell]  8 Ru 2.93, 4 Ir 2.94
2 B 0.5000 0.5000 0.5000 [1 per cell]  2 Ir 2.07, 4 Ru 2.08
3 Ir 0.5000 0.5000 0.0000 [1 per cell]  2 B 2.07
4 Ru 0.0000 0.5000 0.5000 [2 per cell]  2 B 2.08



First-principles (PBE-GGA) data for a geometry-optimized InBSb2Ir structure, as listed in Alexandria via LeMat-Bulk.

Output
The density of states at the Fermi level comes out at 4.5 states/eV per cell. The total DFT energy (no corrections) comes out at -3.59 eV per atom. For the density, the calculation gives 7.506 g/cm3.

Unit cell a=5.5495 b=5.5495 c=4.0327 alpha=90.00 beta=90.00 gamma=90.00
Closest atoms and distances in Å follow each position.
Space group P4/mmm (No. 123)
Inequivalent atoms, fractional coordinates:
1 In 0.0000 0.0000 0.0000 [1 per cell]  2 B 2.02
2 B 0.0000 0.0000 0.5000 [1 per cell]  2 In 2.02
3 Sb 0.0000 0.5000 0.0000 [2 per cell]  2 In 2.77
4 Ir 0.5000 0.5000 0.5000 [1 per cell]  8 Sb 3.43



First-principles (PBE-GGA) data for a geometry-optimized Sc2InBIr structure, as listed in Alexandria via LeMat-Bulk.

Output
The density of states at the Fermi level comes out at 2.5 states/eV per cell. As for the energy of formation from the pure elements: -0.57 eV per atom. For the density, the calculation gives 7.598 g/cm3.

Unit cell a=4.6938 b=4.6938 c=4.0447 alpha=90.00 beta=90.00 gamma=90.00
Closest atoms and distances in Å follow each position.
Space group P4/mmm (No. 123)
Inequivalent atoms, fractional coordinates:
1 Sc 0.0000 0.5000 0.0000 [2 per cell]  2 B 2.35
2 In 0.0000 0.0000 0.5000 [1 per cell]  8 Sc 3.10, 4 Ir 3.32
3 B 0.5000 0.5000 0.0000 [1 per cell]  2 Ir 2.02
4 Ir 0.5000 0.5000 0.5000 [1 per cell]  2 B 2.02



First-principles (PBE-GGA) data for a geometry-optimized Sc2InB2Ir5 structure, as listed in Alexandria via LeMat-Bulk.

Output
The density of states at the Fermi level comes out at 5.2 states/eV per cell. As for the energy of formation from the pure elements: -0.72 eV per atom. For the density, the calculation gives 13.728 g/cm3.

Unit cell a=9.5706 b=9.5706 c=3.1361 alpha=90.00 beta=90.00 gamma=90.00
Closest atoms and distances in Å follow each position.
Space group P4/mbm (No. 127)
Inequivalent atoms, fractional coordinates:
1 Sc 0.1763 0.3237 0.0000 [4 per cell]  3 B 2.73-2.90, 10 Ir 2.86-2.99
2 In 0.0000 0.0000 0.0000 [2 per cell]  8 Ir 2.74
3 B 0.1219 0.6219 0.0000 [4 per cell]  6 Ir 2.21-2.28
4 Ir 0.0000 0.5000 0.5000 [2 per cell]  4 B 2.28
5 Ir 0.0710 0.7757 0.5000 [8 per cell]  2 B 2.21



First-principles (PBE-GGA) data for a geometry-optimized Tb2InB2Ir5 structure, as listed in Alexandria via LeMat-Bulk.

Output
The density of states at the Fermi level comes out at 6.5 states/eV per cell. As for the energy of formation from the pure elements: -0.66 eV per atom. For the density, the calculation gives 15.268 g/cm3.

Unit cell a=9.7706 b=9.7706 c=3.2249 alpha=90.00 beta=90.00 gamma=90.00
Closest atoms and distances in Å follow each position.
Space group P4/mbm (No. 127)
Inequivalent atoms, fractional coordinates:
1 Tb 0.1774 0.3226 0.0000 [4 per cell]  3 B 2.80-2.96, 10 Ir 2.93-3.05
2 In 0.0000 0.0000 0.0000 [2 per cell]  8 Ir 2.83
3 B 0.1199 0.6199 0.0000 [4 per cell]  6 Ir 2.25-2.31
4 Ir 0.0000 0.5000 0.5000 [2 per cell]  4 B 2.31
5 Ir 0.0694 0.7725 0.5000 [8 per cell]  2 B 2.25



First-principles (PBE-GGA) data for a geometry-optimized ThInB2Ir5 structure, as listed in Alexandria via LeMat-Bulk.

Output
The density of states at the Fermi level comes out at 4.7 states/eV per cell. As for the energy of formation from the pure elements: -0.37 eV per atom. For the density, the calculation gives 15.235 g/cm3.

Unit cell a=4.1742 b=4.1742 c=8.3170 alpha=90.00 beta=90.00 gamma=90.00
Closest atoms and distances in Å follow each position.
Space group P4/mmm (No. 123)
Inequivalent atoms, fractional coordinates:
1 Th 0.0000 0.0000 0.0000 [1 per cell]  12 Ir 2.95-3.01
2 In 0.0000 0.0000 0.5000 [1 per cell]  8 Ir 2.89
3 B 0.5000 0.5000 0.2927 [2 per cell]  4 Ir 2.10
4 Ir 0.0000 0.5000 0.2600 [4 per cell]  2 B 2.10
5 Ir 0.5000 0.5000 0.0000 [1 per cell]  2 B 2.43



First-principles (PBE-GGA) data for a geometry-optimized Th2InBIr6 structure, as listed in Alexandria via LeMat-Bulk.

Output
The density of states at the Fermi level comes out at 13.3 states/eV per cell. As for the energy of formation from the pure elements: -0.48 eV per atom. For the density, the calculation gives 15.320 g/cm3.

Unit cell a=9.7967 b=5.8389 c=7.2377 alpha=90.00 beta=114.12 gamma=90.00
Closest atoms and distances in Å follow each position.
Space group C2/m (No. 12)
Inequivalent atoms, fractional coordinates:
1 Th 0.2493 0.0000 0.3013 [4 per cell]  8 Ir 2.97-3.31, 1 In 3.30
2 In 0.0000 0.0000 0.5000 [2 per cell]  6 Ir 2.68-2.72
3 B 0.0000 0.5000 0.0000 [2 per cell]  6 Ir 2.08-2.11
4 Ir 0.0585 0.2309 0.8514 [8 per cell]  1 B 2.11
5 Ir 0.2192 0.5000 0.2168 [4 per cell]  1 B 2.08



Among the records above, which one has the lowest density of states at the Fermi level?
Sc2InBIr